Below is a relaxed UGeO2 crystal, with properties calculated at the PBE level.

Lattice parameters (Å, degrees): 3.5078 3.5078 6.8869 75.25 75.25 60.00
With the nearest neighbours (Å) after each atom.
Element x y z (fractional)
Ge (0.5000, 0.5000, 0.5000)  6 O 2.38
U (0.0000, 0.0000, 0.0000)  2 O 2.05
O (0.1037, 0.1037, 0.6889)  1 U 2.05
O (0.8963, 0.8963, 0.3111)  1 U 2.05

Summary:
For the uncorrected energy, the calculation gives -30.6 eV/f.u. The value obtained for the total magnetization is 2.31 Bohr magnetons per cell. The calculation puts the raw formation energy at -1.21 eV per atom.